# 1
Here is a PBEsol-optimized structure of Hg2PtBr from the Alexandria database. Energies are from meta-GGA SCAN.

Cell lengths 3.3961, 5.0729, 6.5413 Å; angles 107.87, 90.00, 109.56 degrees
Fractional positions:
Br: 0.3349 0.6698 0.2376
Hg: 0.0459 0.0918 0.9680
Hg: 0.7002 0.4003 0.6559
Pt: 0.4190 0.8381 0.6384

Results
total magnetic moment: 0.0 μB/f.u.
polymorph energy (0 for the lowest one): 0 meV/atom
space-group type: No. 8
energy: -225.8 eV/cell
E_form (uncorrected): 34 meV/atom
calculated volume: 25.1 A^3/atom

***

# 2
Here is a PBEsol-optimized structure of RbZn2Hg from the Alexandria database. Energies are from meta-GGA SCAN.

Cell lengths 5.2266, 5.2266, 5.2266 Å; angles 60.00, 60.00, 60.00 degrees
Fractional positions:
Zn: 0.7500 0.7500 0.7500
Zn: 0.2500 0.2500 0.2500
Rb: 0.0000 0.0000 0.0000
Hg: 0.5000 0.5000 0.5000

Results
total magnetic moment: 0.0 μB/f.u.
space-group type: No. 225
formation energy from the elements: 1.032 eV/f.u.
energy: -114.9 eV/cell
calculated volume: 25.2 A^3/atom

***

# 3
Here is a PBEsol-optimized structure of La2Ti3Bi2O12 from the Alexandria database. Energies are from meta-GGA SCAN.

Cell lengths 3.8100, 3.8100, 16.5620 Å; angles 96.60, 96.60, 90.00 degrees
Fractional positions:
Bi: 0.2889 0.2889 0.5777
O: 0.1157 0.6157 0.2314
O: 0.0000 0.5000 0.0000
O: 0.7500 0.2500 0.5000
O: 0.9409 0.9409 0.8819
O: 0.5000 0.0000 0.0000
O: 0.3843 0.8843 0.7686
La: 0.4344 0.4344 0.8688
Ti: 0.1288 0.1288 0.2575
O: 0.1832 0.1832 0.3663
O: 0.0591 0.0591 0.1181
O: 0.8843 0.3843 0.7686
Ti: 0.8712 0.8712 0.7425
O: 0.2500 0.7500 0.5000
La: 0.5656 0.5656 0.1312
O: 0.8168 0.8168 0.6337
O: 0.6157 0.1157 0.2314
Ti: 0.0000 0.0000 0.0000
Bi: 0.7111 0.7111 0.4223

Results
total magnetic moment: 0.0 μB/f.u.
space-group type: No. 139
energy: -422.5 eV/cell
E_form (uncorrected): -2963 meV/atom
calculated volume: 12.5 A^3/atom

***

# 4
Here is a PBEsol-optimized structure of CaZrSc2 from the Alexandria database. Energies are from meta-GGA SCAN.

Cell lengths 3.1757, 3.1757, 11.8344 Å; angles 82.29, 82.29, 60.00 degrees
Site moments in Bohr magnetons follow the coordinates.
Fractional positions:
Sc: 0.9171 0.9171 0.2488  0.43
Sc: 0.0829 0.0829 0.7512  0.43
Ca: 0.5000 0.5000 0.5000  0.07
Zr: 0.0000 0.0000 0.0000  0.20

Results
total magnetic moment: 1.6 μB/f.u.
polymorph energy (0 for the lowest one): 216 meV/atom
space-group type: No. 166
formation energy from the elements: 1.784 eV/f.u.
energy: -67.1 eV/cell
calculated volume: 25.5 A^3/atom